First-principles (PBE-GGA) data for a relaxed structure of Th3AlB2Rh9, as listed in Alexandria.

Summary:
Total moment   0.00 μB/cell
DFT formation energy   -1198 kJ/mol of formula units

abc: 6.1587 6.1587 7.6011
angles: 90.00 90.00 120.00
Element x y z (fractional)
Rh  0.3545  0.1772  0.6843
Th  0.6667  0.3333  0.3375
Rh  0.1772  0.3545  0.3157
Rh  0.0000  0.5000  0.0000
B  0.3333  0.6667  0.1496
Rh  0.6455  0.8228  0.3157
Rh  0.8228  0.6455  0.6843
Th  0.3333  0.6667  0.6625
Al  0.0000  0.0000  0.5000
Th  0.0000  0.0000  0.0000
Rh  0.1772  0.8228  0.3157
Rh  0.8228  0.1772  0.6843
B  0.6667  0.3333  0.8504
Rh  0.5000  0.5000  0.0000
Rh  0.5000  0.0000  0.0000

---

First-principles (PBE-GGA) data for a relaxed structure of Tm2AlB2Rh5, as listed in Alexandria.

Summary:
Total moment   0.00 μB/cell
DFT formation energy   -891 kJ/mol of formula units

abc: 3.1410 9.4763 9.4763
angles: 90.00 90.00 90.00
Element x y z (fractional)
Rh  0.5000  0.2180  0.0696
Tm  0.0000  0.1756  0.3244
Tm  0.0000  0.6756  0.1756
Rh  0.5000  0.7180  0.4304
Al  0.0000  0.5000  0.5000
Tm  0.0000  0.3244  0.8244
B  0.0000  0.1230  0.6230
Rh  0.5000  0.0000  0.5000
Rh  0.5000  0.0696  0.7820
B  0.0000  0.6230  0.8770
Rh  0.5000  0.9304  0.2180
Rh  0.5000  0.5000  0.0000
Tm  0.0000  0.8244  0.6756
Rh  0.5000  0.2820  0.5696
Al  0.0000  0.0000  0.0000
B  0.0000  0.3770  0.1230
Rh  0.5000  0.4304  0.2820
B  0.0000  0.8770  0.3770
Rh  0.5000  0.7820  0.9304
Rh  0.5000  0.5696  0.7180

---

First-principles (PBE-GGA) data for a relaxed structure of Tm2AlBRh6, as listed in Alexandria.

Summary:
Total moment   0.00 μB/cell
DFT formation energy   -609 kJ/mol of formula units

abc: 6.1363 6.1367 6.1386
angles: 60.00 60.01 90.00
Element x y z (fractional)
Rh  0.7350  0.7348  0.0001
Rh  0.7348  0.2650  0.0000
Tm  0.7501  0.2501  0.4999
Rh  0.2650  0.2652  0.9999
Rh  0.2650  0.2650  0.4700
Al  0.0000  0.0000  0.0000
Tm  0.2499  0.7499  0.5001
B  0.5000  0.5000  0.0000
Rh  0.2652  0.7350  0.0000
Rh  0.7350  0.7350  0.5300

---

First-principles (PBE-GGA) data for a relaxed structure of Y2AlB2Rh5, as listed in Alexandria.

Summary:
Total moment   0.00 μB/cell
DFT formation energy   -824 kJ/mol of formula units

abc: 3.1609 9.5543 9.5543
angles: 90.00 90.00 90.00
Element x y z (fractional)
Rh  0.5000  0.2809  0.5693
Rh  0.5000  0.7191  0.4307
Rh  0.5000  0.9307  0.2191
Rh  0.5000  0.0000  0.5000
B  0.0000  0.3775  0.1225
Al  0.0000  0.0000  0.0000
Rh  0.5000  0.7809  0.9307
B  0.0000  0.1225  0.6225
Y  0.0000  0.6760  0.1760
Y  0.0000  0.1760  0.3240
B  0.0000  0.6225  0.8775
Y  0.0000  0.3240  0.8240
Rh  0.5000  0.5693  0.7191
Rh  0.5000  0.0693  0.7809
B  0.0000  0.8775  0.3775
Al  0.0000  0.5000  0.5000
Rh  0.5000  0.2191  0.0693
Rh  0.5000  0.5000  0.0000
Rh  0.5000  0.4307  0.2809
Y  0.0000  0.8240  0.6760

---

First-principles (PBE-GGA) data for a relaxed structure of AlZn2B2Rh5, as listed in Alexandria.

Summary:
Total moment   0.00 μB/cell
DFT formation energy   -511 kJ/mol of formula units

abc: 2.8782 9.3631 9.3631
angles: 90.00 90.00 90.00
Element x y z (fractional)
Rh  0.5000  0.2869  0.5726
Rh  0.5000  0.2131  0.0726
Rh  0.5000  0.7869  0.9274
Zn  0.0000  0.1765  0.3235
Rh  0.5000  0.7131  0.4274
Rh  0.5000  0.5000  0.0000
Rh  0.5000  0.0726  0.7869
Rh  0.5000  0.0000  0.5000
Al  0.0000  0.0000  0.0000
Rh  0.5000  0.5726  0.7131
Rh  0.5000  0.4274  0.2869
Al  0.0000  0.5000  0.5000
Zn  0.0000  0.8235  0.6765
Zn  0.0000  0.6765  0.1765
B  0.0000  0.3729  0.1271
Rh  0.5000  0.9274  0.2131
B  0.0000  0.1271  0.6271
B  0.0000  0.8729  0.3729
B  0.0000  0.6271  0.8729
Zn  0.0000  0.3235  0.8235

---

First-principles (PBE-GGA) data for a relaxed structure of Zr2AlB2Rh5, as listed in Alexandria.

Summary:
Total moment   0.00 μB/cell
DFT formation energy   -830 kJ/mol of formula units

abc: 3.1803 9.2894 9.2894
angles: 90.00 90.00 90.00
Element x y z (fractional)
Zr  0.0000  0.1756  0.3244
B  0.0000  0.8775  0.3775
Zr  0.0000  0.8244  0.6756
Al  0.0000  0.5000  0.5000
B  0.0000  0.6225  0.8775
Rh  0.5000  0.5702  0.7166
Rh  0.5000  0.4298  0.2834
Rh  0.5000  0.0000  0.5000
Zr  0.0000  0.6756  0.1756
Rh  0.5000  0.0702  0.7834
B  0.0000  0.3775  0.1225
Rh  0.5000  0.9298  0.2166
Rh  0.5000  0.7166  0.4298
Al  0.0000  0.0000  0.0000
Rh  0.5000  0.7834  0.9298
Rh  0.5000  0.2834  0.5702
B  0.0000  0.1225  0.6225
Zr  0.0000  0.3244  0.8244
Rh  0.5000  0.2166  0.0702
Rh  0.5000  0.5000  0.0000

---

First-principles (PBE-GGA) data for a relaxed structure of Zr2AlBRh6, as listed in Alexandria.

Summary:
Total moment   0.00 μB/cell
DFT formation energy   -482 kJ/mol of formula units

abc: 6.0594 6.0641 6.0617
angles: 59.99 60.02 90.00
Element x y z (fractional)
Al  0.0000  0.0000  0.0000
Zr  0.7503  0.2504  0.4994
B  0.5000  0.5000  0.0000
Zr  0.2497  0.7497  0.5006
Rh  0.2635  0.2641  0.0001
Rh  0.7365  0.7359  0.0000
Rh  0.7363  0.2639  0.0000
Rh  0.2638  0.2638  0.4724
Rh  0.7362  0.7362  0.5276
Rh  0.2637  0.7361  0.0001

---

First-principles (PBE-GGA) data for a relaxed structure of AlBRu2, as listed in Alexandria.

Summary:
Total moment   0.00 μB/cell
DFT formation energy   -41 kJ/mol of formula units

abc: 2.8877 4.0287 4.0287
angles: 90.00 90.00 90.00
Element x y z (fractional)
B  0.5000  0.5000  0.5000
Ru  0.0000  0.0000  0.5000
Al  0.5000  0.0000  0.0000
Ru  0.0000  0.5000  0.0000

---

First-principles (PBE-GGA) data for a relaxed structure of AlBRu, as listed in Alexandria.

Summary:
Total moment   0.00 μB/cell
DFT formation energy   -69 kJ/mol of formula units

abc: 3.1073 3.6665 3.6665
angles: 120.00 90.00 90.00
Element x y z (fractional)
Ru  0.1667  0.0000  0.0000
B  0.1667  0.6667  0.3333
Al  0.6666  0.3333  0.6667

---

First-principles (PBE-GGA) data for a relaxed structure of Al3B2Ru4, as listed in Alexandria.

Summary:
Total moment   0.00 μB/cell
DFT formation energy   -517 kJ/mol of formula units

abc: 8.5506 8.5506 2.9438
angles: 90.00 90.00 90.00
Element x y z (fractional)
Al  0.0000  0.3464  0.5000
Ru  0.5000  0.7562  0.0000
Al  0.6536  0.0000  0.5000
Ru  0.1763  0.8237  0.0000
Al  0.5000  0.5000  0.5000
Al  0.3464  0.0000  0.5000
Ru  0.8237  0.8237  0.0000
Ru  0.7562  0.5000  0.0000
B  0.6938  0.6938  0.5000
B  0.6938  0.3062  0.5000
Al  0.0000  0.0000  0.5000
Ru  0.1763  0.1763  0.0000
B  0.3062  0.3062  0.5000
Ru  0.2438  0.5000  0.0000
Al  0.0000  0.6536  0.5000
B  0.3062  0.6938  0.5000
Ru  0.5000  0.2438  0.0000
Ru  0.8237  0.1763  0.0000

---

First-principles (PBE-GGA) data for a relaxed structure of AlB3Ru, as listed in Alexandria.

Summary:
Total moment   0.00 μB/cell
DFT formation energy   491 kJ/mol of formula units

abc: 4.1094 4.1094 4.1094
angles: 90.00 90.00 90.00
Element x y z (fractional)
Al  0.5000  0.5000  0.5000
B  0.0000  0.5000  0.0000
B  0.5000  0.0000  0.0000
Ru  0.0000  0.0000  0.0000
B  0.0000  0.0000  0.5000

---

First-principles (PBE-GGA) data for a relaxed structure of Al2BRu, as listed in Alexandria.

Summary:
Total moment   0.00 μB/cell
DFT formation energy   85 kJ/mol of formula units

abc: 7.3688 7.3688 5.6195
angles: 49.03 49.03 90.00
Element x y z (fractional)
Ru  0.7500  0.2500  0.5000
Al  0.2438  0.6250  0.2500
Al  0.5062  0.1250  0.2500
Ru  0.0000  0.0000  0.0000
Al  0.3750  0.4938  0.7500
Al  0.8750  0.7562  0.7500
B  0.5000  0.5000  0.0000
B  0.2500  0.7500  0.5000

---

First-principles (PBE-GGA) data for a relaxed structure of AlBRu3, as listed in Alexandria.

Summary:
Total moment   0.00 μB/cell
DFT formation energy   -81 kJ/mol of formula units

abc: 4.6400 5.6829 5.6829
angles: 119.99 90.00 90.00
Element x y z (fractional)
Ru  0.2500  0.3519  0.1760
Ru  0.2500  0.8240  0.6481
B  0.0000  0.0000  0.0000
B  0.5000  0.0000  0.0000
Al  0.2500  0.3334  0.6666
Al  0.7500  0.6666  0.3334
Ru  0.7500  0.1760  0.3519
Ru  0.7500  0.6481  0.8240
Ru  0.7500  0.1760  0.8240
Ru  0.2500  0.8240  0.1760

---

First-principles (PBE-GGA) data for a relaxed structure of AlBRu, as listed in Alexandria.

Summary:
Total moment   0.00 μB/cell
DFT formation energy   -96 kJ/mol of formula units

abc: 2.8715 2.8715 4.6058
angles: 108.16 108.16 90.00
Element x y z (fractional)
Al  0.6229  0.6229  0.2458
Ru  0.9197  0.9197  0.8393
B  0.3074  0.3074  0.6149

---

First-principles (PBE-GGA) data for a relaxed structure of AlBRu2, as listed in Alexandria.

Summary:
Total moment   0.00 μB/cell
DFT formation energy   -50 kJ/mol of formula units

abc: 6.7421 6.7421 5.2920
angles: 50.43 50.43 90.00
Element x y z (fractional)
Al  0.0000  0.0000  0.0000
Al  0.7500  0.2500  0.5000
B  0.5000  0.5000  0.0000
B  0.2500  0.7500  0.5000
Ru  0.2215  0.6250  0.2500
Ru  0.3750  0.4715  0.7500
Ru  0.5285  0.1250  0.2500
Ru  0.8750  0.7785  0.7500

---

First-principles (PBE-GGA) data for a relaxed structure of Al2BRu2, as listed in Alexandria.

Summary:
Total moment   0.00 μB/cell
DFT formation energy   -210 kJ/mol of formula units

abc: 5.7892 5.7892 3.9607
angles: 90.00 90.00 90.00
Element x y z (fractional)
Al  0.8427  0.3427  0.5000
Al  0.6573  0.8427  0.5000
B  0.5000  0.5000  0.0000
B  0.0000  0.0000  0.0000
Al  0.1573  0.6573  0.5000
Ru  0.1651  0.3349  0.0000
Ru  0.6651  0.1651  0.0000
Al  0.3427  0.1573  0.5000
Ru  0.3349  0.8349  0.0000
Ru  0.8349  0.6651  0.0000

---

First-principles (PBE-GGA) data for a relaxed structure of AlBRu, as listed in Alexandria.

Summary:
Total moment   0.00 μB/cell
DFT formation energy   -41 kJ/mol of formula units

abc: 2.9638 3.9395 6.1044
angles: 90.00 104.05 90.00
Element x y z (fractional)
Al  0.4224  0.2500  0.8449
Al  0.5776  0.7500  0.1551
B  0.7606  0.2500  0.5211
B  0.2394  0.7500  0.4789
Ru  0.1270  0.2500  0.2541
Ru  0.8730  0.7500  0.7459

---

First-principles (PBE-GGA) data for a relaxed structure of AlBRu2, as listed in Alexandria.

Summary:
Total moment   0.00 μB/cell
DFT formation energy   -114 kJ/mol of formula units

abc: 2.9161 4.3708 7.5475
angles: 90.00 90.00 90.00
Element x y z (fractional)
Ru  0.0000  0.7500  0.3428
Al  0.5000  0.2500  0.3691
Ru  0.0000  0.2500  0.6572
Al  0.5000  0.7500  0.6309
Ru  0.0000  0.7500  0.9191
Ru  0.0000  0.2500  0.0809
B  0.5000  0.7500  0.1326
B  0.5000  0.2500  0.8674

---

First-principles (PBE-GGA) data for a relaxed structure of AlBRu2, as listed in Alexandria.

Summary:
Total moment   0.00 μB/cell
DFT formation energy   -100 kJ/mol of formula units

abc: 2.8131 2.8131 5.9322
angles: 90.00 90.00 90.00
Element x y z (fractional)
Ru  0.0000  0.0000  0.7841
Ru  0.0000  0.0000  0.2159
B  0.5000  0.5000  0.0000
Al  0.5000  0.5000  0.5000

---

First-principles (PBE-GGA) data for a relaxed structure of AlBRu3, as listed in Alexandria.

Summary:
Total moment   1.11 μB/cell
DFT formation energy   -58 kJ/mol of formula units

abc: 4.0617 4.0617 4.0617
angles: 90.00 90.00 90.00
Last column: magnetic moment on the atom in μB.
Element x y z (fractional)
Ru  0.5000  0.0000  0.0000  0.32
Ru  0.0000  0.0000  0.5000  0.34
Al  0.5000  0.5000  0.5000  -0.01
Ru  0.0000  0.5000  0.0000  0.37
B  0.0000  0.0000  0.0000  0.00

---

First-principles (PBE-GGA) data for a relaxed structure of AlBRu2, as listed in Alexandria.

Summary:
Total moment   0.00 μB/cell
DFT formation energy   -29 kJ/mol of formula units

abc: 4.0506 4.0506 4.0506
angles: 60.00 60.00 60.00
Element x y z (fractional)
B  0.0000  0.0000  0.0000
Al  0.5000  0.5000  0.5000
Ru  0.2500  0.2500  0.2500
Ru  0.7500  0.7500  0.7500

---

First-principles (PBE-GGA) data for a relaxed structure of AlBRu, as listed in Alexandria.

Summary:
Total moment   0.00 μB/cell
DFT formation energy   -84 kJ/mol of formula units

abc: 2.9405 2.8250 8.7886
angles: 90.02 90.00 90.00
Element x y z (fractional)
Al  0.2500  0.5008  0.3643
Ru  0.7500  0.0002  0.1592
B  0.2500  0.5001  0.0574
B  0.7500  0.4999  0.9426
Ru  0.2500  0.9998  0.8408
Al  0.7500  0.4992  0.6357

---

First-principles (PBE-GGA) data for a relaxed structure of AlBRu3, as listed in Alexandria.

Summary:
Total moment   2.10 μB/cell
DFT formation energy   935 kJ/mol of formula units

abc: 4.3749 4.3749 4.3749
angles: 90.00 90.00 90.00
Last column: magnetic moment on the atom in μB.
Element x y z (fractional)
Ru  0.5000  0.0000  0.0000  0.63
Ru  0.0000  0.0000  0.5000  0.80
Ru  0.0000  0.5000  0.0000  0.71
Al  0.0000  0.0000  0.0000  -0.02
B  0.5000  0.5000  0.5000  -0.05